No. 1
A geometry-optimized Pm2Zn3Si2 structure, computed with PBE.

The structure belongs to space group C2/m (No. 12); the cell edges are 10.631, 4.156 and 6.441 Å and the angles 90.00°, 99.48° and 90.00°. The inequivalent atoms are Pm at (0.128, 0.000, 0.336), Zn at (0.000, 0.500, 0.000), Zn at (0.189, 0.000, 0.860) and Si at (0.082, 0.500, 0.654).

The total magnetization comes out at 0.00 μB per formula unit. As for the uncorrected energy: -27.19 eV per formula unit. The formation energy without anion corrections comes out at -432 meV per atom.

No. 2
A geometry-optimized PmZnSi structure, computed with PBE.

The structure belongs to space group Fmmm (No. 69); the cell edges are 4.669, 7.730 and 15.612 Å and the angles 90.00°, 90.00° and 90.00°. The inequivalent atoms are Pm at (0.000, 0.000, 0.124), Zn at (0.000, 0.167, 0.500) and Si at (0.250, 0.250, 0.250).

The total magnetization comes out at 0.00 μB per formula unit. The relative energy among the computed polymorphs comes out at 455 meV/atom. As for the uncorrected energy: -12.02 eV per formula unit. The formation energy without anion corrections comes out at -191 meV per atom.

No. 3
A geometry-optimized Pm5Zn3Si3 structure, computed with PBE.

The structure belongs to space group P-62m (No. 189); the cell edges are 9.1352, 9.1352 and 4.2340 Å and the angles 90.00°, 90.00° and 120.00°. The inequivalent atoms are Pm at (0.0000, 0.2517, 0.0000), Pm at (0.3333, 0.6667, 0.0000), Zn at (0.0000, 0.7333, 0.5000) and Si at (0.0000, 0.6121, 0.0000).

The total magnetization comes out at 0.01 μB per formula unit. As for the uncorrected energy: -44.70 eV per formula unit. The formation energy without anion corrections comes out at -78 meV per atom.

Among the records above, which one has the lowest uncorrected energy?
Pm5Zn3Si3